Crystalline TiNbN3 at its relaxed geometry, computed with PBE-GGA.

Cell: 3.996 3.996 3.996 Å, 90.00 90.00 90.00°
Positions (direct):
Nb1 0.000 0.000 0.000
N1 0.000 0.500 0.000
N2 0.000 0.000 0.500
N3 0.500 0.000 0.000
Ti1 0.500 0.500 0.500

Results
Formation energy (no corrections) ... 0.238 eV per atom
Final energy ... -41.750 eV for the cell shown
Crystal system ... cubic